## Y2MgRh (SCAN)

Data for a PBEsol-optimized structure of Y2MgRh.

The structure in extended XYZ format:
```
4
Lattice="-1.383 0.461 3.337 -1.569 -4.654 -0.007 4.264 -1.440 1.966" Properties=species:S:1:pos:R:3 pbc="T T T"
Y -0.784 -2.327 -0.003
Y 2.132 -0.720 0.983
Rh -0.692 0.231 1.669
Mg 0.656 -2.816 2.648
```

Summary:
- Formation enthalpy at 0 K: -0.45 eV/atom
- Volume: 21.960 Å³/atom

***

## MgZn2Rh (SCAN)

Data for a PBEsol-optimized structure of MgZn2Rh.

The structure in extended XYZ format:
```
4
Lattice="3.752 0.002 0.000 0.002 3.747 -0.001 -1.878 -1.876 4.061" Properties=species:S:1:pos:R:3 pbc="T T T"
Zn 0.002 3.747 0.000
Zn 1.876 0.001 2.031
Mg -0.001 -0.001 4.061
Rh 0.001 1.873 2.029
```

Summary:
- Formation enthalpy at 0 K: -0.39 eV/atom
- Volume: 14.276 Å³/atom

***

## MgZnRh (SCAN)

Data for a PBEsol-optimized structure of MgZnRh.

The structure in extended XYZ format:
```
6
Lattice="-2.616 0.410 -1.557 -2.235 -1.158 3.449 1.112 6.107 2.771" Properties=species:S:1:pos:R:3 pbc="T T T"
Zn -2.546 3.520 2.176
Zn -1.349 1.542 -0.356
Mg -1.170 1.121 2.262
Mg -1.479 5.698 0.956
Rh -0.105 3.368 1.063
Rh -1.302 5.351 3.597
```

Summary:
- Formation enthalpy at 0 K: -0.50 eV/atom
- Volume: 14.475 Å³/atom

***

## MgZn2Rh (SCAN)

Data for a PBEsol-optimized structure of MgZn2Rh.

The structure in extended XYZ format:
```
4
Lattice="-0.167 -3.235 1.875 1.733 -1.730 -2.830 2.791 3.283 2.177" Properties=species:S:1:pos:R:3 pbc="T T T"
Mg -0.084 -1.617 0.938
Zn 2.570 -2.082 0.372
Zn 1.787 0.400 0.850
Rh 0.867 -0.865 -1.415
```

Summary:
- Formation enthalpy at 0 K: -0.44 eV/atom
- Volume: 14.142 Å³/atom

***

## MgZnRh (SCAN)

Data for a PBEsol-optimized structure of MgZnRh.

The structure in extended XYZ format:
```
3
Lattice="-1.966 1.299 1.654 -2.893 -2.862 -1.192 2.405 -0.713 3.420" Properties=species:S:1:pos:R:3 pbc="T T T"
Rh -2.288 -1.379 1.321
Mg -0.029 0.019 0.025
Zn -0.138 -0.916 2.536
```

Summary:
- Formation enthalpy at 0 K: -0.39 eV/atom
- Volume: 14.945 Å³/atom

***

## MgZn2Rh (SCAN)

Data for a PBEsol-optimized structure of MgZn2Rh.

The structure in extended XYZ format:
```
4
Lattice="2.976 0.000 0.000 0.000 3.528 0.000 0.000 0.000 5.596" Properties=species:S:1:pos:R:3 pbc="T T T"
Mg 1.488 1.764 0.000
Zn 0.000 0.000 1.540
Zn 0.000 0.000 4.056
Rh 1.488 1.764 2.798
```

Summary:
- Formation enthalpy at 0 K: -0.34 eV/atom
- Volume: 14.692 Å³/atom